Entry 1:
AsSeBr (PBE, optimized geometry); total energy = -3.491 eV/atom; crystal system = triclinic
1.0
3.572 0.018 0.036
1.805 5.317 0.638
0.113 1.445 11.505
As Se Br
2 2 2
direct
0.376 0.216 0.776 As
0.620 0.781 0.228 As
0.875 0.235 0.630 Se
0.120 0.762 0.375 Se
0.395 0.233 0.128 Br
0.601 0.764 0.877 Br

Entry 2:
AsSeBr2 (PBE, optimized geometry); relative energy among the computed polymorphs = 0.191 eV/atom; crystal system = orthorhombic
1.0
-1.019 -3.316 1.122
2.534 -2.995 -6.552
6.327 -2.982 -3.067
Se Br As
1 2 1
direct
0.500 0.250 0.250 Se
0.000 0.885 0.885 Br
0.000 0.615 0.615 Br
0.500 0.750 0.750 As

Entry 3:
AsSe3Br (PBE, optimized geometry); relative energy among the computed polymorphs = 0.567 eV/atom; crystal system = cubic
1.0
-0.498 -0.117 -5.060
4.073 -3.028 -0.331
-3.005 -4.085 0.390
Se Br As
3 1 1
direct
0.000 0.500 0.000 Se
0.000 0.000 0.500 Se
0.500 0.000 0.000 Se
0.500 0.500 0.500 Br
0.000 0.000 0.000 As

Computed values of theoretical density (unit: Mg/m³) for the preceding records, in sequence: 3.61; 3.86; 4.94.